LaIrPt | PBE | optimized geometry

SG: No. 156
DFT formation energy, meV/atom: 213
Offset from the most stable computed form, meV per atom: 1110
Magnetic moment, μB per cell: 0.00

```
LaIrPt
1.0
2.946 0.000 0.000
-1.473 2.551 0.000
0.000 0.000 7.567
Ir La Pt
1 1 1
Cartesian
0.000 0.000 7.461 Ir
1.473 0.850 2.493 La
0.000 1.701 5.181 Pt
```


Re2AgHg | PBE | optimized geometry

SG: No. 65
DFT formation energy, meV/atom: 889
Magnetic moment, μB per cell: 0.00

```
Re2AgHg
1.0
-2.077 -1.296 -1.232
1.987 -1.690 0.842
-4.538 -1.001 8.699
Re Hg Ag
2 1 1
Cartesian
-0.016 -0.004 0.031 Re
-2.253 -0.497 4.319 Re
-3.448 -2.244 6.329 Hg
-1.179 -1.743 1.979 Ag
```